## BaSrIr2 (GGA-PBEsol)

Data for a relaxed structure of BaSrIr2.

Structure (POSCAR):
```
BaSrIr2
1.0
1.699 0.981 9.310
-1.699 0.981 9.310
0.000 -1.962 9.310
Ba Sr Ir
1 1 2
Cartesian
0.000 0.000 0.000 Ba
0.000 0.000 13.966 Sr
0.000 0.000 6.928 Ir
0.000 0.000 21.003 Ir
```

Calculated values
Calculated volume, Å³ per cell: 93.1
Energy relative to the lowest polymorph listed for this composition, eV per formula unit: 3.343
Total magnetization, Bohr magnetons per cell: 0.0
SG: R-3m, No. 166
N(E_F), states/eV per atom: 0.633
Energy of formation, meV/atom: 712


## BaSrZn2Ir (GGA-PBEsol)

Data for a relaxed structure of BaSrZn2Ir.

Structure (POSCAR):
```
BaSrZn2Ir
1.0
5.162 0.000 0.000
0.000 5.162 0.000
0.000 0.000 6.317
Ba Sr Zn Ir
1 1 2 1
Cartesian
0.000 0.000 0.000 Ba
0.000 0.000 3.158 Sr
0.000 2.581 3.158 Zn
2.581 0.000 3.158 Zn
2.581 2.581 0.000 Ir
```

Calculated values
Calculated volume, Å³ per cell: 168.3
Total magnetization, Bohr magnetons per cell: 0.2
SG: P4/mmm, No. 123
N(E_F), states/eV per atom: 1.262
Energy of formation, meV/atom: 1683


## Ba2TaIr (GGA-PBEsol)

Data for a relaxed structure of Ba2TaIr.

Structure (POSCAR):
```
Ba2TaIr
1.0
1.653 0.955 10.755
-1.653 0.955 10.755
0.000 -1.909 10.755
Ba Ta Ir
2 1 1
Cartesian
0.000 0.000 7.823 Ba
0.000 0.000 24.440 Ba
0.000 0.000 0.000 Ta
0.000 0.000 16.132 Ir
```

Calculated values
Calculated volume, Å³ per cell: 101.8
Energy relative to the lowest polymorph listed for this composition, eV per formula unit: 0.804
Total magnetization, Bohr magnetons per cell: 0.0
SG: R-3m, No. 166
N(E_F), states/eV per atom: 1.600
Energy of formation, meV/atom: 1159


## Ba2TaIr (GGA-PBEsol)

Data for a relaxed structure of Ba2TaIr.

Structure (POSCAR):
```
Ba2TaIr
1.0
-2.110 2.110 5.509
2.110 -2.110 5.509
2.110 2.110 -5.509
Ba Ta Ir
2 1 1
Cartesian
2.110 0.000 2.755 Ba
0.000 2.110 2.755 Ba
0.000 0.000 0.000 Ta
0.000 0.000 5.509 Ir
```

Calculated values
Calculated volume, Å³ per cell: 98.1
Energy relative to the lowest polymorph listed for this composition, eV per formula unit: 0.000
Total magnetization, Bohr magnetons per cell: 0.0
SG: I4/mmm, No. 139
N(E_F), states/eV per atom: 1.040
Energy of formation, meV/atom: 958


## BaTa3Ir (GGA-PBEsol)

Data for a relaxed structure of BaTa3Ir.

Structure (POSCAR):
```
BaTa3Ir
1.0
4.965 0.000 0.000
0.000 4.965 0.000
0.000 0.000 4.965
Ba Ta Ir
1 3 1
Cartesian
0.000 0.000 0.000 Ba
0.000 2.482 2.482 Ta
2.482 0.000 2.482 Ta
2.482 2.482 0.000 Ta
2.482 2.482 2.482 Ir
```

Calculated values
Calculated volume, Å³ per cell: 122.4
Total magnetization, Bohr magnetons per cell: 0.0
SG: Pm-3m, No. 221
N(E_F), states/eV per atom: 1.053
Energy of formation, meV/atom: 987


## Ba2TcIr (GGA-PBEsol)

Data for a relaxed structure of Ba2TcIr.

Structure (POSCAR):
```
Ba2TcIr
1.0
3.566 0.000 0.000
0.000 4.381 0.000
0.000 0.000 6.579
Ba Tc Ir
2 1 1
Cartesian
0.000 0.000 1.598 Ba
0.000 0.000 4.981 Ba
1.783 2.190 3.289 Tc
1.783 2.190 0.000 Ir
```

Calculated values
Calculated volume, Å³ per cell: 102.8
Total magnetization, Bohr magnetons per cell: 2.7
SG: Pmmm, No. 47
N(E_F), states/eV per atom: 1.013
Energy of formation, meV/atom: 1043


## Ba4TcIr (GGA-PBEsol)

Data for a relaxed structure of Ba4TcIr.

Structure (POSCAR):
```
Ba4TcIr
1.0
0.000 4.598 4.598
4.598 0.000 4.598
4.598 4.598 0.000
Ba Tc Ir
4 1 1
Cartesian
3.454 3.454 3.454 Ba
5.743 5.743 3.454 Ba
5.743 3.454 5.743 Ba
3.454 5.743 5.743 Ba
0.000 0.000 0.000 Tc
6.897 6.897 6.897 Ir
```

Calculated values
Calculated volume, Å³ per cell: 194.5
Total magnetization, Bohr magnetons per cell: 2.8
SG: F-43m, No. 216
N(E_F), states/eV per atom: 1.509
Energy of formation, meV/atom: 1553


## BaZrTcIr2 (GGA-PBEsol)

Data for a relaxed structure of BaZrTcIr2.

Structure (POSCAR):
```
BaZrTcIr2
1.0
4.735 0.000 0.000
0.000 4.735 0.000
0.000 0.000 5.145
Ba Zr Tc Ir
1 1 1 2
Cartesian
0.000 0.000 0.000 Ba
2.367 2.367 0.000 Zr
0.000 0.000 2.572 Tc
0.000 2.367 2.572 Ir
2.367 0.000 2.572 Ir
```

Calculated values
Calculated volume, Å³ per cell: 115.3
Total magnetization, Bohr magnetons per cell: 0.9
SG: P4/mmm, No. 123
N(E_F), states/eV per atom: 1.224
Energy of formation, meV/atom: 1293


## BaTe2Ir (GGA-PBEsol)

Data for a relaxed structure of BaTe2Ir.

Structure (POSCAR):
```
BaTe2Ir
1.0
3.227 -4.396 0.000
3.227 4.396 0.000
0.000 0.000 4.120
Ba Te Ir
1 2 1
Cartesian
0.000 0.000 0.000 Ba
3.227 1.614 2.060 Te
3.227 -1.614 2.060 Te
3.227 0.000 0.000 Ir
```

Calculated values
Calculated volume, Å³ per cell: 116.9
Uncorrected formation energy, eV per formula unit: -2.534
Energy relative to the lowest polymorph listed for this composition, eV per formula unit: 0.000
Total magnetization, Bohr magnetons per cell: 0.0
SG: Cmmm, No. 65
N(E_F), states/eV per atom: 0.266


## BaTe2Ir (GGA-PBEsol)

Data for a relaxed structure of BaTe2Ir.

Structure (POSCAR):
```
BaTe2Ir
1.0
-1.995 3.107 4.690
1.995 -3.107 4.690
1.995 3.107 -4.690
Ba Te Ir
1 2 1
Cartesian
0.000 0.000 0.000 Ba
1.995 0.000 3.013 Te
0.000 3.107 1.677 Te
0.000 0.000 4.690 Ir
```

Calculated values
Calculated volume, Å³ per cell: 116.3
Uncorrected formation energy, eV per formula unit: -2.485
Energy relative to the lowest polymorph listed for this composition, eV per formula unit: 0.050
Total magnetization, Bohr magnetons per cell: 0.0
SG: Immm, No. 71
N(E_F), states/eV per atom: 0.699


## BaTe2Ir (GGA-PBEsol)

Data for a relaxed structure of BaTe2Ir.

Structure (POSCAR):
```
BaTe2Ir
1.0
5.706 -2.008 0.000
5.706 2.008 0.000
-2.682 0.000 5.254
Ba Te Ir
1 2 1
Cartesian
0.000 0.000 0.000 Ba
0.325 0.000 3.377 Te
3.202 0.000 1.677 Te
7.403 0.000 2.373 Ir
```

Calculated values
Calculated volume, Å³ per cell: 120.4
Uncorrected formation energy, eV per formula unit: -2.423
Energy relative to the lowest polymorph listed for this composition, eV per formula unit: 0.112
Total magnetization, Bohr magnetons per cell: 0.0
SG: Cm, No. 8
N(E_F), states/eV per atom: 0.563


## BaTe2Ir (GGA-PBEsol)

Data for a relaxed structure of BaTe2Ir.

Structure (POSCAR):
```
BaTe2Ir
1.0
2.188 1.263 6.671
-2.188 1.263 6.671
0.000 -2.526 6.671
Ba Te Ir
1 2 1
Cartesian
0.000 0.000 0.000 Ba
0.000 0.000 4.430 Te
0.000 0.000 15.584 Te
0.000 0.000 10.007 Ir
```

Calculated values
Calculated volume, Å³ per cell: 110.6
Uncorrected formation energy, eV per formula unit: -2.274
Energy relative to the lowest polymorph listed for this composition, eV per formula unit: 0.260
Total magnetization, Bohr magnetons per cell: 0.0
SG: R-3m, No. 166
N(E_F), states/eV per atom: 0.665